[1]
VASP calculation (PBE-GGA) on a relaxed structure of SrIn2GeIr2.

```
data_SrIn2GeIr2
_chemical_formula_sum 'Sr1 In2 Ge1 Ir2'
_cell_length_a 4.758
_cell_length_b 4.758
_cell_length_c 6.153
_cell_angle_alpha 90.00
_cell_angle_beta 90.00
_cell_angle_gamma 90.00
_symmetry_space_group_name_H-M 'P 4/m m m'
_symmetry_Int_Tables_number 123
_symmetry_space_group_name_Hall '-P 4 2'
loop_
_atom_site_label
_atom_site_type_symbol
_atom_site_fract_x
_atom_site_fract_y
_atom_site_fract_z
Sr1 Sr 0.000 0.000 0.000
In1 In 0.500 0.500 0.242
Ge1 Ge 0.000 0.000 0.500
Ir1 Ir 0.000 0.500 0.500
```

Summary:
* E_form: -0.201 eV/atom
* total magnetic moment: 0.008 Bohr magnetons per cell
* calculated volume: 139 Å³ per cell


[2]
VASP calculation (PBE-GGA) on a relaxed structure of Sr2InGe3Ir4.

```
data_Sr2InGe3Ir4
_chemical_formula_sum 'Sr2 In1 Ge3 Ir4'
_cell_length_a 4.327
_cell_length_b 4.327
_cell_length_c 10.685
_cell_angle_alpha 90.00
_cell_angle_beta 90.00
_cell_angle_gamma 90.00
_symmetry_space_group_name_H-M 'P -4 m 2'
_symmetry_Int_Tables_number 115
loop_
_symmetry_equiv_pos_as_xyz
'x,y,z'
'y,-x,-z'
'-x,-y,z'
'-y,x,-z'
'-x,y,z'
'-y,-x,-z'
'x,-y,z'
'y,x,-z'
loop_
_atom_site_label
_atom_site_type_symbol
_atom_site_fract_x
_atom_site_fract_y
_atom_site_fract_z
Sr1 Sr 0.000 0.500 0.243
In1 In 0.000 0.000 0.500
Ge1 Ge 0.000 0.500 0.878
Ge2 Ge 0.500 0.500 0.500
Ir1 Ir 0.000 0.000 0.000
Ir2 Ir 0.000 0.500 0.643
Ir3 Ir 0.500 0.500 0.000
```

Summary:
* E_form: -0.524 eV/atom
* total magnetic moment: 0.000 Bohr magnetons per cell
* calculated volume: 200 Å³ per cell


[3]
VASP calculation (PBE-GGA) on a relaxed structure of Tb2InGe2Ir5.

```
data_Tb2InGe2Ir5
_chemical_formula_sum 'Tb4 In2 Ge4 Ir10'
_cell_length_a 9.807
_cell_length_b 9.807
_cell_length_c 3.685
_cell_angle_alpha 90.00
_cell_angle_beta 90.00
_cell_angle_gamma 90.00
_symmetry_space_group_name_H-M 'P 4/m b m'
_symmetry_Int_Tables_number 127
_symmetry_space_group_name_Hall '-P 4 2ab'
loop_
_atom_site_label
_atom_site_type_symbol
_atom_site_fract_x
_atom_site_fract_y
_atom_site_fract_z
Tb1 Tb 0.175 0.325 0.000
In1 In 0.000 0.000 0.000
Ge1 Ge 0.123 0.623 0.000
Ir1 Ir 0.000 0.500 0.500
Ir2 Ir 0.067 0.788 0.500
```

Summary:
* E_form: -0.595 eV/atom
* total magnetic moment: 0.000 Bohr magnetons per cell
* calculated volume: 354 Å³ per cell


[4]
VASP calculation (PBE-GGA) on a relaxed structure of Tb2InGe3Ir4.

```
data_Tb2InGe3Ir4
_chemical_formula_sum 'Tb2 In1 Ge3 Ir4'
_cell_length_a 4.177
_cell_length_b 4.177
_cell_length_c 10.834
_cell_angle_alpha 90.00
_cell_angle_beta 90.00
_cell_angle_gamma 90.00
_symmetry_space_group_name_H-M 'P -4 m 2'
_symmetry_Int_Tables_number 115
loop_
_symmetry_equiv_pos_as_xyz
'x,y,z'
'y,-x,-z'
'-x,-y,z'
'-y,x,-z'
'-x,y,z'
'-y,-x,-z'
'x,-y,z'
'y,x,-z'
loop_
_atom_site_label
_atom_site_type_symbol
_atom_site_fract_x
_atom_site_fract_y
_atom_site_fract_z
Tb1 Tb 0.000 0.500 0.237
In1 In 0.000 0.000 0.500
Ge1 Ge 0.000 0.500 0.873
Ge2 Ge 0.500 0.500 0.500
Ir1 Ir 0.000 0.000 0.000
Ir2 Ir 0.000 0.500 0.651
Ir3 Ir 0.500 0.500 0.000
```

Summary:
* E_form: -0.659 eV/atom
* total magnetic moment: 0.000 Bohr magnetons per cell
* calculated volume: 189 Å³ per cell


What did the fourth record say?
VASP calculation (PBE-GGA) on a relaxed structure of Tb2InGe3Ir4.

```
data_Tb2InGe3Ir4
_chemical_formula_sum 'Tb2 In1 Ge3 Ir4'
_cell_length_a 4.177
_cell_length_b 4.177
_cell_length_c 10.834
_cell_angle_alpha 90.00
_cell_angle_beta 90.00
_cell_angle_gamma 90.00
_symmetry_space_group_name_H-M 'P -4 m 2'
_symmetry_Int_Tables_number 115
loop_
_symmetry_equiv_pos_as_xyz
'x,y,z'
'y,-x,-z'
'-x,-y,z'
'-y,x,-z'
'-x,y,z'
'-y,-x,-z'
'x,-y,z'
'y,x,-z'
loop_
_atom_site_label
_atom_site_type_symbol
_atom_site_fract_x
_atom_site_fract_y
_atom_site_fract_z
Tb1 Tb 0.000 0.500 0.237
In1 In 0.000 0.000 0.500
Ge1 Ge 0.000 0.500 0.873
Ge2 Ge 0.500 0.500 0.500
Ir1 Ir 0.000 0.000 0.000
Ir2 Ir 0.000 0.500 0.651
Ir3 Ir 0.500 0.500 0.000
```

Summary:
* E_form: -0.659 eV/atom
* total magnetic moment: 0.000 Bohr magnetons per cell
* calculated volume: 189 Å³ per cell